1.
# AsRu

A crystal of AsRu relaxed with PBEsol (meta-GGA SCAN, the Alexandria database).

SG: R-3m
Density of states at the Fermi level: 0.6620 states/eV per atom
Uncorrected energy: -27.59 eV per atom

a b c (Å): 2.9448 2.9448 4.1747
angles (deg): 69.35 69.35 60.00
Element x y z (fractional)
Ru 0.5000 0.5000 0.5000
As 0.0000 0.0000 0.0000


2.
# TlS2I2

A crystal of TlS2I2 relaxed with PBEsol (meta-GGA SCAN, the Alexandria database).

Energy relative to the elements, uncorrected: 159.3 kJ/mol of formula units
SG: I4/mmm
Density of states at the Fermi level: 0.4331 states/eV per atom

a b c (Å): 5.6179 5.6179 6.8733
angles (deg): 114.12 114.12 90.00
Element x y z (fractional)
S 0.7500 0.2500 0.5000
S 0.2500 0.7500 0.5000
I 0.7160 0.7160 0.4320
I 0.2840 0.2840 0.5680
Tl 0.0000 0.0000 0.0000


3.
# Tc2HgPt

A crystal of Tc2HgPt relaxed with PBEsol (meta-GGA SCAN, the Alexandria database).

SG: P4/mmm
Density of states at the Fermi level: 1.0088 states/eV per atom
Uncorrected energy: -51.79 eV per atom

a b c (Å): 2.7371 2.7371 8.2355
angles (deg): 90.00 90.00 90.00
Element x y z (fractional)
Pt 0.5000 0.5000 0.5000
Hg 0.5000 0.5000 0.0000
Tc 0.0000 0.0000 0.2654
Tc 0.0000 0.0000 0.7346


4.
# NaZnAsH4O6

A crystal of NaZnAsH4O6 relaxed with PBEsol (meta-GGA SCAN, the Alexandria database).

SG: P-1
Density of states at the Fermi level: 0.0000 states/eV per atom
Uncorrected energy: -8.23 eV per atom

a b c (Å): 5.6831 6.1126 7.9172
angles (deg): 88.55 86.75 91.62
Element x y z (fractional)
Na 0.0000 0.0000 0.0000
Na 0.5000 0.5000 0.0000
O 0.1601 0.6747 0.0703
O 0.2548 0.9670 0.7373
O 0.1068 0.2424 0.4192
O 0.7855 0.4874 0.2548
O 0.3582 0.7294 0.4353
O 0.3323 0.1786 0.1228
O 0.7452 0.0330 0.2627
O 0.2145 0.5126 0.7452
O 0.6418 0.2706 0.5647
O 0.8932 0.7576 0.5808
O 0.8399 0.3253 0.9297
O 0.6677 0.8214 0.8772
Zn 0.6961 0.7494 0.3882
Zn 0.3039 0.2506 0.6118
H 0.1331 0.6093 0.9596
H 0.8669 0.3907 0.0404
H 0.7484 0.7955 0.7632
H 0.4713 0.0943 0.1525
H 0.0487 0.5992 0.1561
H 0.2516 0.2045 0.2368
H 0.5287 0.9057 0.8475
H 0.9513 0.4008 0.8439
As 0.8133 0.2545 0.3844
As 0.1867 0.7455 0.6156


5.
# Si2HgMo

A crystal of Si2HgMo relaxed with PBEsol (meta-GGA SCAN, the Alexandria database).

Energy relative to the elements, uncorrected: 93.5 kJ/mol of formula units
SG: P4mm
Density of states at the Fermi level: 0.1872 states/eV per atom

a b c (Å): 3.3860 3.3860 5.4506
angles (deg): 90.00 90.00 90.00
Element x y z (fractional)
Mo 0.5000 0.5000 0.8042
Hg 0.0000 0.0000 0.4759
Si 0.5000 0.5000 0.2441
Si 0.0000 0.0000 0.9759


6.
# MnSb2Cl

A crystal of MnSb2Cl relaxed with PBEsol (meta-GGA SCAN, the Alexandria database).

Energy relative to the elements, uncorrected: -68.9 kJ/mol of formula units
SG: P4/mmm
Relative energy among the computed polymorphs: 12 kJ/mol of formula units
Density of states at the Fermi level: 0.2983 states/eV per atom

a b c (Å): 3.3313 3.3313 7.5435
angles (deg): 90.00 90.00 90.00
Site moments in Bohr magnetons follow the coordinates.
Element x y z (fractional)
Mn 0.5000 0.5000 0.5000  3.43
Sb 0.0000 0.0000 0.7051  -0.06
Sb 0.0000 0.0000 0.2949  -0.06
Cl 0.5000 0.5000 0.0000  0.03


7.
# LiTa2Pb

A crystal of LiTa2Pb relaxed with PBEsol (meta-GGA SCAN, the Alexandria database).

SG: P4/mmm
Density of states at the Fermi level: 0.5670 states/eV per atom
Uncorrected energy: -52.28 eV per atom

a b c (Å): 3.5776 3.5776 5.6312
angles (deg): 90.00 90.00 90.00
Element x y z (fractional)
Ta 0.0000 0.0000 0.7560
Ta 0.0000 0.0000 0.2440
Pb 0.5000 0.5000 0.5000
Li 0.5000 0.5000 0.0000


8.
# KTa2PO8

A crystal of KTa2PO8 relaxed with PBEsol (meta-GGA SCAN, the Alexandria database).

Energy relative to the elements, uncorrected: -3319.9 kJ/mol of formula units
SG: R3
Density of states at the Fermi level: 0.0000 states/eV per atom

a b c (Å): 8.4487 8.4487 8.4487
angles (deg): 104.34 104.34 104.34
Element x y z (fractional)
Ta 0.0402 0.1583 0.3551
Ta 0.3551 0.0402 0.1583
Ta 0.8446 0.9684 0.6523
Ta 0.6523 0.8446 0.9684
Ta 0.1583 0.3551 0.0402
Ta 0.9684 0.6523 0.8446
O 0.6426 0.7661 0.4434
O 0.0223 0.4973 0.9698
O 0.9303 0.7882 0.6838
O 0.9698 0.0223 0.4973
O 0.3552 0.5583 0.2316
O 0.4240 0.8739 0.2864
O 0.5583 0.2316 0.3552
O 0.2126 0.0664 0.3140
O 0.8486 0.0011 0.1535
O 0.4434 0.6426 0.7661
O 0.7661 0.4434 0.6426
O 0.0664 0.3140 0.2126
O 0.8739 0.2864 0.4240
O 0.6838 0.9303 0.7882
O 0.4973 0.9698 0.0223
O 0.1261 0.5854 0.7043
O 0.7882 0.6838 0.9303
O 0.7043 0.1261 0.5854
O 0.1535 0.8486 0.0011
O 0.2316 0.3552 0.5583
O 0.2864 0.4240 0.8739
O 0.3140 0.2126 0.0664
O 0.0011 0.1535 0.8486
O 0.5854 0.7043 0.1261
K 0.8652 0.5872 0.3571
K 0.5872 0.3571 0.8652
K 0.3571 0.8652 0.5872
P 0.2697 0.5020 0.7269
P 0.7269 0.2697 0.5020
P 0.5020 0.7269 0.2697


9.
# MgFeGe2Se

A crystal of MgFeGe2Se relaxed with PBEsol (meta-GGA SCAN, the Alexandria database).

Energy relative to the elements, uncorrected: 82.0 kJ/mol of formula units
SG: P4/mmm
Density of states at the Fermi level: 0.3204 states/eV per atom

a b c (Å): 4.3125 4.3125 5.5069
angles (deg): 90.00 90.00 90.00
Site moments in Bohr magnetons follow the coordinates.
Element x y z (fractional)
Se 0.0000 0.0000 0.5000  0.09
Fe 0.0000 0.0000 0.0000  -1.14
Mg 0.5000 0.5000 0.5000  -0.01
Ge 0.0000 0.5000 0.0000  0.04
Ge 0.5000 0.0000 0.0000  0.04


10.
# SrZrRe2N

A crystal of SrZrRe2N relaxed with PBEsol (meta-GGA SCAN, the Alexandria database).

Energy relative to the elements, uncorrected: 1301.5 kJ/mol of formula units
SG: P4/mmm
Density of states at the Fermi level: 0.8412 states/eV per atom

a b c (Å): 4.6685 4.6685 6.3964
angles (deg): 90.00 90.00 90.00
Site moments in Bohr magnetons follow the coordinates.
Element x y z (fractional)
Re 0.0000 0.5000 0.0000  -0.14
Re 0.5000 0.0000 0.0000  -0.14
Sr 0.0000 0.0000 0.5000  -0.01
N 0.5000 0.5000 0.5000  1.52
Zr 0.0000 0.0000 0.0000  0.04


11.
# ScCu3Si

A crystal of ScCu3Si relaxed with PBEsol (meta-GGA SCAN, the Alexandria database).

Energy relative to the elements, uncorrected: 731.2 kJ/mol of formula units
SG: Pm-3m
Density of states at the Fermi level: 0.6664 states/eV per atom

a b c (Å): 4.6146 4.6146 4.6146
angles (deg): 90.00 90.00 90.00
Element x y z (fractional)
Cu 0.0000 0.5000 0.0000
Cu 0.0000 0.0000 0.5000
Cu 0.5000 0.0000 0.0000
Si 0.5000 0.5000 0.5000
Sc 0.0000 0.0000 0.0000


12.
# SrPt3Br

A crystal of SrPt3Br relaxed with PBEsol (meta-GGA SCAN, the Alexandria database).

Energy relative to the elements, uncorrected: 865.6 kJ/mol of formula units
SG: Pm-3m
Density of states at the Fermi level: 1.3538 states/eV per atom

a b c (Å): 5.1435 5.1435 5.1435
angles (deg): 90.00 90.00 90.00
Element x y z (fractional)
Sr 0.0000 0.0000 0.0000
Pt 0.5000 0.0000 0.0000
Pt 0.0000 0.5000 0.0000
Pt 0.0000 0.0000 0.5000
Br 0.5000 0.5000 0.5000